Entry 1:
VASP calculation (GGA-PBE) on Zr2InSiF after structural relaxation.

Unit cell a=4.4244 b=4.4244 c=4.9453 alpha=90.00 beta=90.00 gamma=90.00
Closest atoms and distances in Å follow each position.
Fractional positions:
Zr  0.0000  0.5000  0.0000  2 F 2.21
Zr  0.5000  0.0000  0.0000  2 F 2.21
In  0.0000  0.0000  0.5000  2 F 2.47
Si  0.5000  0.5000  0.5000  4 In 3.13, 8 Zr 3.32
F  0.0000  0.0000  0.0000  4 Zr 2.21, 2 In 2.47

Values from the calculation:
**Crystal system**: tetragonal
**SG**: P4/mmm (123)
**Raw total energy**: -5.814 eV/atom
**N(E_F)**: 0.77 states/eV per atom

Entry 2:
VASP calculation (GGA-PBE) on Sr5Ga2P6 after structural relaxation.

Unit cell a=11.8215 b=13.4988 c=4.1645 alpha=90.00 beta=90.00 gamma=90.00
Closest atoms and distances in Å follow each position.
Fractional positions:
Sr  0.0000  0.0000  0.0000  6 P 3.13-3.20
Sr  0.0810  0.2588  0.0000  6 P 3.05-3.10
Sr  0.1751  0.5174  0.0000  7 P 3.10-3.37, 2 Ga 3.38
Sr  0.3249  0.0174  0.0000  7 P 3.10-3.37, 2 Ga 3.38
Sr  0.4190  0.7588  0.0000  6 P 3.05-3.10
Sr  0.5000  0.5000  0.0000  6 P 3.13-3.20
Sr  0.5810  0.2412  0.0000  6 P 3.05-3.10
Sr  0.6751  0.9826  0.0000  7 P 3.10-3.37, 2 Ga 3.38
Sr  0.8249  0.4826  0.0000  7 P 3.10-3.37, 2 Ga 3.38
Sr  0.9190  0.7412  0.0000  6 P 3.05-3.10
Ga  0.1830  0.7147  0.5000  3 P 2.40-2.47
Ga  0.3170  0.2147  0.5000  3 P 2.40-2.47
Ga  0.6830  0.7853  0.5000  3 P 2.40-2.47
Ga  0.8170  0.2853  0.5000  3 P 2.40-2.47
P  0.0100  0.4169  0.5000  1 P 2.26
P  0.1578  0.1046  0.5000  1 Ga 2.40
P  0.1639  0.8113  0.0000  2 Ga 2.47
P  0.3361  0.3113  0.0000  2 Ga 2.47
P  0.3422  0.6046  0.5000  1 Ga 2.40
P  0.4900  0.9169  0.5000  1 P 2.26
P  0.5100  0.0831  0.5000  1 P 2.26
P  0.6578  0.3954  0.5000  1 Ga 2.40
P  0.6639  0.6887  0.0000  2 Ga 2.47
P  0.8361  0.1887  0.0000  2 Ga 2.47
P  0.8422  0.8954  0.5000  1 Ga 2.40
P  0.9900  0.5831  0.5000  1 P 2.26

Values from the calculation:
**Crystal system**: orthorhombic
**ΔH_f (0 K)**: -11.9 eV per formula unit
**SG**: Pbam (55)
**Raw total energy**: -4.525 eV/atom
**N(E_F)**: 0.10 states/eV per atom

Entry 3:
VASP calculation (GGA-PBE) on BeTcP3 after structural relaxation.

Unit cell a=4.6056 b=4.6056 c=4.6056 alpha=90.00 beta=90.00 gamma=90.00
Closest atoms and distances in Å follow each position.
Fractional positions:
Be  0.0000  0.0000  0.0000  12 P 3.26
Tc  0.5000  0.5000  0.5000  6 P 2.30
P  0.0000  0.5000  0.5000  2 Tc 2.30
P  0.5000  0.0000  0.5000  2 Tc 2.30
P  0.5000  0.5000  0.0000  2 Tc 2.30

Values from the calculation:
**Crystal system**: cubic
**ΔH_f (0 K)**: 4.8 eV per formula unit
**SG**: Pm-3m (221)
**Raw total energy**: -5.110 eV/atom
**N(E_F)**: 0.59 states/eV per atom

Entry 4:
VASP calculation (GGA-PBE) on Ni3MoS after structural relaxation.

Unit cell a=4.1314 b=4.1314 c=4.1314 alpha=90.00 beta=90.00 gamma=90.00
Closest atoms and distances in Å follow each position.
Fractional positions:
Ni  0.0000  0.0000  0.5000  2 S 2.07
Ni  0.0000  0.5000  0.0000  2 S 2.07
Ni  0.5000  0.0000  0.0000  2 S 2.07
Mo  0.5000  0.5000  0.5000  12 Ni 2.92
S  0.0000  0.0000  0.0000  6 Ni 2.07

Values from the calculation:
**Crystal system**: cubic
**SG**: Pm-3m (221)
**Raw total energy**: -6.017 eV/atom
**N(E_F)**: 0.86 states/eV per atom

Entry 5:
VASP calculation (GGA-PBE) on LiPbSe after structural relaxation.

Unit cell a=4.9563 b=4.9563 c=4.9563 alpha=60.00 beta=60.00 gamma=60.00
Closest atoms and distances in Å follow each position.
Fractional positions:
Li  0.0000  0.0000  0.0000  4 Se 3.04
Pb  0.5000  0.5000  0.5000  4 Se 3.04
Se  0.7500  0.7500  0.7500  4 Pb 3.04, 4 Li 3.04

Values from the calculation:
**Crystal system**: cubic
**SG**: F-43m (216)
**Raw total energy**: -3.404 eV/atom
**N(E_F)**: 0.51 states/eV per atom

Entry 6:
VASP calculation (GGA-PBE) on SrSc2O4 after structural relaxation.

Unit cell a=5.5079 b=5.5079 c=10.6763 alpha=90.00 beta=90.00 gamma=146.14
Closest atoms and distances in Å follow each position.
Fractional positions:
Sr  0.1107  0.8893  0.7500  6 O 2.44-2.60
Sr  0.8893  0.1107  0.2500  6 O 2.44-2.60
Sc  0.3648  0.6352  0.5708  6 O 2.05-2.27
Sc  0.3648  0.6352  0.9292  6 O 2.05-2.27
Sc  0.6352  0.3648  0.0708  6 O 2.05-2.27
Sc  0.6352  0.3648  0.4292  6 O 2.05-2.27
O  0.0000  0.0000  0.0000  4 Sc 2.27
O  0.0000  0.0000  0.5000  4 Sc 2.27
O  0.2627  0.7373  0.1047  3 Sc 2.12-2.16
O  0.2627  0.7373  0.3953  3 Sc 2.12-2.16
O  0.4358  0.5642  0.7500  2 Sc 2.05
O  0.5642  0.4358  0.2500  2 Sc 2.05
O  0.7373  0.2627  0.6047  3 Sc 2.12-2.16
O  0.7373  0.2627  0.8953  3 Sc 2.12-2.16

Values from the calculation:
**Crystal system**: orthorhombic
**SG**: Cmcm (63)
**Raw total energy**: -8.197 eV/atom
**N(E_F)**: 0.00 states/eV per atom

Entry 7:
VASP calculation (GGA-PBE) on ScFeTc2 after structural relaxation.

Unit cell a=4.3451 b=4.3451 c=4.3451 alpha=60.00 beta=60.00 gamma=60.00
Closest atoms and distances in Å follow each position.
Fractional positions:
Sc  0.0000  0.0000  0.0000  8 Tc 2.66
Fe  0.5000  0.5000  0.5000  8 Tc 2.66
Tc  0.2500  0.2500  0.2500  4 Fe 2.66, 4 Sc 2.66
Tc  0.7500  0.7500  0.7500  4 Fe 2.66, 4 Sc 2.66

Values from the calculation:
**Crystal system**: cubic
**ΔH_f (0 K)**: 0.9 eV per formula unit
**SG**: Fm-3m (225)
**Raw total energy**: -8.659 eV/atom
**N(E_F)**: 3.32 states/eV per atom

Entry 8:
VASP calculation (GGA-PBE) on Li2TcNi after structural relaxation.

Unit cell a=2.5266 b=4.0176 c=5.3454 alpha=90.00 beta=103.47 gamma=90.00
Closest atoms and distances in Å follow each position.
Fractional positions:
Li  0.0000  0.0000  0.0000  6 Li 2.53-2.60, 2 Ni 2.56, 3 Tc 2.72-2.78
Li  0.3960  0.5000  0.7968  6 Li 2.53-2.60, 1 Ni 2.56
Tc  0.7268  0.0000  0.4645  4 Ni 2.51-2.52, 2 Tc 2.53, 3 Li 2.72-2.78
Ni  0.1474  0.5000  0.3044  4 Tc 2.51-2.52, 2 Ni 2.53, 3 Li 2.56

Values from the calculation:
**Crystal system**: monoclinic
**ΔH_f (0 K)**: 0.4 eV per formula unit
**SG**: Pm (6)
**Raw total energy**: -4.885 eV/atom
**N(E_F)**: 0.57 states/eV per atom

Entry 9:
VASP calculation (GGA-PBE) on MgSc3Ga12 after structural relaxation.

Unit cell a=4.1407 b=4.1407 c=16.5669 alpha=90.00 beta=90.00 gamma=90.00
Closest atoms and distances in Å follow each position.
Fractional positions:
Mg  0.0000  0.0000  0.0000  12 Ga 2.93
Sc  0.0000  0.0000  0.2533  12 Ga 2.90-2.96
Sc  0.0000  0.0000  0.5000  12 Ga 2.92-2.93
Sc  0.0000  0.0000  0.7467  12 Ga 2.90-2.96
Ga  0.0000  0.5000  0.1254  8 Ga 2.93-2.95, 2 Mg 2.93, 2 Sc 2.96
Ga  0.0000  0.5000  0.3755  4 Sc 2.90-2.92, 8 Ga 2.91-2.93
Ga  0.0000  0.5000  0.6245  4 Sc 2.90-2.92, 8 Ga 2.91-2.93
Ga  0.0000  0.5000  0.8746  8 Ga 2.93-2.95, 2 Mg 2.93, 2 Sc 2.96
Ga  0.5000  0.0000  0.1254  8 Ga 2.93-2.95, 2 Mg 2.93, 2 Sc 2.96
Ga  0.5000  0.0000  0.3755  4 Sc 2.90-2.92, 8 Ga 2.91-2.93
Ga  0.5000  0.0000  0.6245  4 Sc 2.90-2.92, 8 Ga 2.91-2.93
Ga  0.5000  0.0000  0.8746  8 Ga 2.93-2.95, 2 Mg 2.93, 2 Sc 2.96
Ga  0.5000  0.5000  0.0000  4 Mg 2.93, 8 Ga 2.93
Ga  0.5000  0.5000  0.2522  8 Ga 2.91-2.95, 4 Sc 2.93
Ga  0.5000  0.5000  0.5000  8 Ga 2.92, 4 Sc 2.93
Ga  0.5000  0.5000  0.7478  8 Ga 2.91-2.95, 4 Sc 2.93

Values from the calculation:
**Crystal system**: tetragonal
**ΔH_f (0 K)**: -6.2 eV per formula unit
**SG**: P4/mmm (123)
**Raw total energy**: -3.943 eV/atom
**N(E_F)**: 0.45 states/eV per atom

Entry 10:
VASP calculation (GGA-PBE) on YEr2Pd2 after structural relaxation.

Unit cell a=5.4150 b=4.6050 c=10.3096 alpha=90.00 beta=98.31 gamma=90.00
Closest atoms and distances in Å follow each position.
Fractional positions:
Y  0.0879  0.2500  0.2853  5 Pd 2.98-2.99
Y  0.9121  0.7500  0.7147  5 Pd 2.98-2.99
Er  0.2547  0.2500  0.9661  4 Pd 2.86-2.95
Er  0.3893  0.2500  0.6189  5 Pd 2.79-2.96
Er  0.6107  0.7500  0.3811  5 Pd 2.79-2.96
Er  0.7453  0.7500  0.0339  4 Pd 2.86-2.95
Pd  0.1489  0.7500  0.4715  4 Er 2.79-2.96, 2 Pd 2.92, 3 Y 2.98-2.99
Pd  0.2647  0.7500  0.1378  5 Er 2.86-2.95, 2 Y 2.99
Pd  0.7353  0.2500  0.8622  5 Er 2.86-2.95, 2 Y 2.99
Pd  0.8511  0.2500  0.5285  4 Er 2.79-2.96, 2 Pd 2.92, 3 Y 2.98-2.99

Values from the calculation:
**Crystal system**: monoclinic
**ΔH_f (0 K)**: -3.5 eV per formula unit
**SG**: P2_1/m (11)
**Raw total energy**: -5.890 eV/atom
**N(E_F)**: 0.83 states/eV per atom

Entry 11:
VASP calculation (GGA-PBE) on LiAcPmIn after structural relaxation.

Unit cell a=5.5919 b=5.5919 c=5.5919 alpha=60.00 beta=60.00 gamma=60.00
Closest atoms and distances in Å follow each position.
Fractional positions:
Li  0.0000  0.0000  0.0000  4 Ac 3.42, 4 Pm 3.42
Ac  0.7500  0.7500  0.7500  4 In 3.42, 4 Li 3.42
Pm  0.2500  0.2500  0.2500  4 In 3.42, 4 Li 3.42
In  0.5000  0.5000  0.5000  4 Ac 3.42, 4 Pm 3.42

Values from the calculation:
**Crystal system**: cubic
**ΔH_f (0 K)**: -0.9 eV per formula unit
**SG**: F-43m (216)
**Raw total energy**: -3.602 eV/atom
**N(E_F)**: 1.03 states/eV per atom

Entry 12:
VASP calculation (GGA-PBE) on CaYCd2 after structural relaxation.

Unit cell a=6.1851 b=6.1851 c=5.5369 alpha=108.08 beta=108.08 gamma=33.45
Closest atoms and distances in Å follow each position.
Fractional positions:
Ca  0.0000  0.0000  0.0000  7 Cd 3.29-3.36, 2 Ca 3.56, 2 Y 3.63-3.64
Y  0.2099  0.2099  0.6465  7 Cd 3.28-3.42, 2 Y 3.56, 2 Ca 3.63-3.64
Cd  0.4639  0.4639  0.4800  2 Cd 3.09, 3 Y 3.28-3.42, 4 Ca 3.29-3.34
Cd  0.7541  0.7541  0.1686  2 Cd 3.09, 4 Y 3.29-3.37, 3 Ca 3.33-3.36

Values from the calculation:
**Crystal system**: monoclinic
**ΔH_f (0 K)**: -1.0 eV per formula unit
**SG**: Cm (8)
**Raw total energy**: -2.812 eV/atom
**N(E_F)**: 0.88 states/eV per atom